{"formula": "SrDy3Rh", "functional": "PBE", "state": "relaxed", "sg": "Pm-3m, No. 221", "dos_ef_per_ev_cell": 5.6, "delta_e_f_mev_per_atom": -285, "lattice_angstrom": [[5.505, 0.000, 0.000], [0.000, 5.505, 0.000], [0.000, 0.000, 5.505]], "species": ["Sr", "Dy", "Dy", "Dy", "Rh"], "frac_coords": [[0.000, 0.000, 0.000], [0.000, 0.500, 0.500], [0.500, 0.000, 0.500], [0.500, 0.500, 0.000], [0.500, 0.500, 0.500]]}